This record from the Alexandria database describes a relaxed structure of Na2MgCrF6. The functional is PBE+U.

extended XYZ file:
```
20
Lattice="5.400 0.000 0.000 0.000 5.600 0.000 -5.311 0.000 8.280" Properties=species:S:1:pos:R:3 pbc="T T T"
Na -0.075 0.290 2.028
Na -2.731 2.510 6.167
Na 2.819 3.090 2.112
Na 0.164 5.310 6.252
Mg 2.700 0.000 0.000
Mg 0.044 2.800 4.140
Cr -2.656 0.000 4.140
Cr 0.000 2.800 0.000
F -4.225 1.140 7.845
F -1.570 1.660 3.705
F -3.704 3.962 7.727
F -1.048 4.437 3.587
F -2.024 0.282 6.406
F 0.631 2.518 2.266
F -0.543 3.082 6.014
F 2.113 5.318 1.874
F 1.137 1.162 4.692
F 3.792 1.637 0.553
F 1.658 3.940 4.575
F 4.314 4.460 0.435
```

total energy	-0.193	Ha/atom